No. 1
This record from Alexandria describes a relaxed GeW2Se crystal. The functional is GGA-PBE.

Properties
**Relative energy among the computed polymorphs**: 0 meV/atom
**DOS at the Fermi energy**: 2.54 states/eV/cell
**Space-group type**: Fm-3m, No. 225
**E_form (uncorrected)**: 0.4560 eV/atom

The structure in POSCAR format:
```
GeW2Se
1.0
0.211 0.125 4.439
1.627 3.595 2.048
-2.717 2.680 2.280
W Se Ge
2 1 1
direct
0.750 0.750 0.750 W
0.250 0.250 0.250 W
0.500 0.500 0.500 Se
0.000 0.000 0.000 Ge
```

***

No. 2
This record from Alexandria describes a relaxed GeW3Se crystal. The functional is GGA-PBE.

Properties
**Relative energy among the computed polymorphs**: 0 meV/atom
**DOS at the Fermi energy**: 4.99 states/eV/cell
**Space-group type**: Pm-3m, No. 221
**E_form (uncorrected)**: 1.7458 eV/atom

The structure in POSCAR format:
```
GeW3Se
1.0
4.622 0.000 0.000
0.000 4.622 0.000
0.000 0.000 4.622
Se W Ge
1 3 1
direct
0.000 0.000 0.000 Se
0.500 0.000 0.000 W
0.000 0.000 0.500 W
0.000 0.500 0.000 W
0.500 0.500 0.500 Ge
```

***

No. 3
This record from Alexandria describes a relaxed Y8Ge5Se crystal. The functional is GGA-PBE.

Properties
**DOS at the Fermi energy**: 11.92 states/eV/cell
**Space-group type**: I-4, No. 82
**E_form (uncorrected)**: -0.9779 eV/atom

The structure in POSCAR format:
```
Y8Ge5Se
1.0
-4.453 -1.110 6.122
0.154 -6.365 -4.242
7.091 1.713 2.308
Y Ge Se
8 5 1
direct
0.259 0.249 0.374 Y
0.126 0.751 0.011 Y
0.989 0.115 0.741 Y
0.626 0.885 0.874 Y
0.494 0.616 0.249 Y
0.633 0.384 0.878 Y
0.751 0.245 0.367 Y
0.122 0.755 0.506 Y
0.751 0.623 0.628 Ge
0.500 0.000 0.500 Ge
0.872 0.877 0.249 Ge
0.005 0.377 0.128 Ge
0.372 0.123 0.995 Ge
0.250 0.500 0.750 Se
```